1.
A relaxed Ba2Ca2Bi crystal. Source: Alexandria, functional GGA-PBE.

As for the total energy: -2.615 eV/atom. For the formation enthalpy at 0 K, the calculation gives -0.27 eV per atom.

The structure belongs to space group P4/mbm (No. 127); the cell edges are 8.623, 8.623 and 6.189 Å and the angles 90.00°, 90.00° and 90.00°. The inequivalent atoms are Ba at (0.167, 0.333, 0.000), Ca at (0.151, 0.651, 0.500) and Bi at (0.000, 0.000, 0.500).

=====

2.
A relaxed AlRh crystal. Source: Alexandria, functional GGA-PBE.

As for the total energy: -6.345 eV/atom. For the formation enthalpy at 0 K, the calculation gives -0.80 eV per atom.

The structure belongs to space group Pmma (No. 51); the cell edges are 5.469, 3.862 and 8.073 Å and the angles 90.00°, 90.00° and 90.00°. The inequivalent atoms are Al at (0.009, 0.000, 0.174), Al at (0.250, 0.500, 0.618), Rh at (0.000, 0.000, 0.500), Rh at (0.250, 0.500, 0.296) and Rh at (0.250, 0.500, 0.938).

=====

3.
A relaxed YRe2Mo crystal. Source: Alexandria, functional GGA-PBE.

As for the total energy: -10.050 eV/atom. The value obtained for the energy relative to the lowest polymorph listed for this composition is 318 meV/atom. For the formation enthalpy at 0 K, the calculation gives 0.50 eV per atom.

The structure belongs to space group R3m (No. 160, hexagonal axes); the cell edges are 2.8859, 2.8859 and 29.2658 Å and the angles 90.00°, 90.00° and 120.00°. The inequivalent atoms are Y at (0.0000, 0.0000, 0.0000), Re at (0.0000, 0.0000, 0.2422), Re at (0.0000, 0.0000, 0.5035) and Mo at (0.0000, 0.0000, 0.7598).

=====

4.
A relaxed Ta2ZnCu2 crystal. Source: Alexandria, functional GGA-PBE.

As for the total energy: -6.462 eV/atom. For the formation enthalpy at 0 K, the calculation gives 0.17 eV per atom.

The structure belongs to space group P4/mbm (No. 127); the cell edges are 6.361, 6.361 and 3.743 Å and the angles 90.00°, 90.00° and 90.00°. The inequivalent atoms are Ta at (0.168, 0.332, 0.000), Zn at (0.000, 0.000, 0.500) and Cu at (0.133, 0.633, 0.500).

=====

5.
A relaxed SmTmInPt crystal. Source: Alexandria, functional GGA-PBE.

As for the total energy: -5.216 eV/atom. For the formation enthalpy at 0 K, the calculation gives -0.72 eV per atom.

The structure belongs to space group F-43m (No. 216); the cell edges are 7.285, 7.285 and 7.285 Å and the angles 90.00°, 90.00° and 90.00°. The inequivalent atoms are Sm at (0.000, 0.000, 0.000), Tm at (0.000, 0.000, 0.500), In at (0.250, 0.250, 0.750) and Pt at (0.250, 0.250, 0.250).

=====

6.
A relaxed BeZnSCl2 crystal. Source: Alexandria, functional GGA-PBE.

The value obtained for the formation energy without anion corrections is -0.265 eV per atom. As for the total energy: -2.829 eV/atom. The value obtained for the energy relative to the lowest polymorph listed for this composition is 0 meV/atom.

The structure belongs to space group P4/mmm (No. 123); the cell edges are 4.146, 4.146 and 5.520 Å and the angles 90.00°, 90.00° and 90.00°. The inequivalent atoms are Be at (0.000, 0.000, 0.000), Zn at (0.500, 0.500, 0.500), S at (0.000, 0.000, 0.500) and Cl at (0.000, 0.500, 0.000).

=====

7.
A relaxed In5Pd2Au2 crystal. Source: Alexandria, functional GGA-PBE.

As for the total energy: -3.672 eV/atom. For the formation enthalpy at 0 K, the calculation gives -0.27 eV per atom.

The structure belongs to space group Ima2 (No. 46); the cell edges are 16.108, 6.694 and 7.370 Å and the angles 90.00°, 90.00° and 90.00°. The inequivalent atoms are In at (0.074, 0.158, 0.000), In at (0.156, 0.675, 0.139), In at (0.250, 0.110, 0.319), Pd at (0.087, 0.519, 0.830), Au at (0.000, 0.000, 0.683) and Au at (0.250, 0.509, 0.440).

=====

8.
A relaxed LiAl crystal. Source: Alexandria, functional GGA-PBE.

As for the total energy: -2.935 eV/atom. For the formation enthalpy at 0 K, the calculation gives -0.11 eV per atom.

The structure belongs to space group Cmcm (No. 63); the cell edges are 2.763, 10.751 and 4.593 Å and the angles 90.00°, 90.00° and 90.00°. The inequivalent atoms are Li at (0.000, 0.172, 0.250) and Al at (0.000, 0.435, 0.250).

=====

9.
A relaxed Li3Zn7Pd crystal. Source: Alexandria, functional GGA-PBE.

As for the total energy: -1.901 eV/atom. For the formation enthalpy at 0 K, the calculation gives -0.10 eV per atom.

The structure belongs to space group C2/m (No. 12); the cell edges are 9.496, 8.888 and 4.809 Å and the angles 90.00°, 114.66° and 90.00°. The inequivalent atoms are Li at (0.000, 0.000, 0.000), Li at (0.000, 0.203, 0.500), Zn at (0.000, 0.500, 0.500), Zn at (0.168, 0.251, 0.164), Zn at (0.226, 0.000, 0.525) and Pd at (0.000, 0.500, 0.000).

=====

10.
A relaxed MoPt2Br crystal. Source: Alexandria, functional GGA-PBE.

The value obtained for the formation energy without anion corrections is 0.047 eV per atom. As for the total energy: -6.099 eV/atom. The value obtained for the energy relative to the lowest polymorph listed for this composition is 0 meV/atom.

The structure belongs to space group Pmmm (No. 47); the cell edges are 2.859, 2.935 and 8.591 Å and the angles 90.00°, 90.00° and 90.00°. The inequivalent atoms are Mo at (0.000, 0.000, 0.000), Pt at (0.500, 0.500, 0.210) and Br at (0.500, 0.000, 0.500).

=====

11.
A relaxed DyCdGe2 crystal. Source: Alexandria, functional GGA-PBE.

As for the total energy: -4.132 eV/atom. The value obtained for the energy relative to the lowest polymorph listed for this composition is 0 meV/atom. For the formation enthalpy at 0 K, the calculation gives -0.44 eV per atom.

The structure belongs to space group I4/mmm (No. 139); the cell edges are 4.202, 4.202 and 19.078 Å and the angles 90.00°, 90.00° and 90.00°. The inequivalent atoms are Dy at (0.000, 0.000, 0.109), Cd at (0.000, 0.500, 0.250), Ge at (0.000, 0.000, 0.363) and Ge at (0.000, 0.500, 0.000).

=====

12.
A relaxed ZrNp2NiS5 crystal. Source: Alexandria, functional GGA-PBE.

The value obtained for the formation energy without anion corrections is -1.328 eV per atom. As for the total energy: -8.088 eV/atom.

The structure belongs to space group Cmc2_1 (No. 36); the cell edges are 3.688, 16.016 and 11.468 Å and the angles 90.00°, 90.00° and 90.00°. The inequivalent atoms are Zr at (0.000, 0.177, 0.000), Np at (0.000, 0.107, 0.324), Np at (0.000, 0.121, 0.676), Ni at (0.000, 0.441, 0.401), S at (0.000, 0.017, 0.998), S at (0.000, 0.306, 0.663), S at (0.000, 0.309, 0.339), S at (0.000, 0.342, 0.998) and S at (0.000, 0.499, 0.729).